A plane-wave DFT calculation with PBEsol was carried out for a geometry-optimized Ba2CrBiO6 structure.

It has space group Fm-3m (No. 225), with a = 8.325 Å, b = 8.325 Å, c = 8.325 Å, α = 90.00°, β = 90.00° and γ = 90.00°. The inequivalent atoms are Ba at (0.250, 0.250, 0.250), Cr at (0.000, 0.000, 0.000), Bi at (0.000, 0.000, 0.500) and O at (0.000, 0.000, 0.225).

Its volume is 14.4 Å³/atom. The value obtained for the spin magnetization is 4.0 μB per cell. The calculation puts the formation energy without anion corrections at -2.077 eV per atom. The density of states at the Fermi level comes out at 20.350 states/eV per cell.